<a>
First-principles (PBE with a Hubbard U) data for a relaxed ScMo2F crystal, as listed in the Alexandria database.

```
data_ScMo2F
_chemical_formula_sum 'Sc4 Mo8 F4'
_symmetry_space_group_name_H-M 'I -4 2 d'
_symmetry_Int_Tables_number 122
_symmetry_space_group_name_Hall 'I -4 2bw'
_cell_length_a 7.925
_cell_length_b 7.925
_cell_length_c 4.410
_cell_angle_alpha 90.00
_cell_angle_beta 90.00
_cell_angle_gamma 90.00
loop_
_atom_site_label
_atom_site_fract_x
_atom_site_fract_y
_atom_site_fract_z
Sc1 0.000 0.000 0.000
Mo1 0.168 0.250 0.625
F1 0.000 0.000 0.500
```

---

<b>
First-principles (PBE with a Hubbard U) data for a relaxed ScMo2F crystal, as listed in the Alexandria database.

```
data_ScMo2F
_chemical_formula_sum 'Sc4 Mo8 F4'
_symmetry_space_group_name_H-M 'F m -3 m'
_symmetry_Int_Tables_number 225
_symmetry_space_group_name_Hall '-F 4 2 3'
_cell_length_a 6.969
_cell_length_b 6.969
_cell_length_c 6.969
_cell_angle_alpha 90.00
_cell_angle_beta 90.00
_cell_angle_gamma 90.00
loop_
_atom_site_label
_atom_site_fract_x
_atom_site_fract_y
_atom_site_fract_z
Sc1 0.000 0.000 0.000
Mo1 0.250 0.250 0.250
F1 0.000 0.000 0.500
```

---

Quick one: most stable of them? <a>

---

<a>
First-principles (PBE with a Hubbard U) data for a relaxed ScMo3F crystal, as listed in the Alexandria database.

```
data_ScMo3F
_chemical_formula_sum 'Sc1 Mo3 F1'
_symmetry_space_group_name_H-M 'P m -3 m'
_symmetry_Int_Tables_number 221
_symmetry_space_group_name_Hall '-P 4 2 3'
_cell_length_a 5.517
_cell_length_b 5.517
_cell_length_c 5.517
_cell_angle_alpha 90.00
_cell_angle_beta 90.00
_cell_angle_gamma 90.00
loop_
_atom_site_label
_atom_site_fract_x
_atom_site_fract_y
_atom_site_fract_z
Sc1 0.000 0.000 0.000
Mo1 0.000 0.000 0.500
F1 0.500 0.500 0.500
```

---

<b>
First-principles (PBE with a Hubbard U) data for a relaxed ScMo3F crystal, as listed in the Alexandria database.

```
data_ScMo3F
_chemical_formula_sum 'Sc1 Mo3 F1'
_symmetry_space_group_name_H-M 'P m -3 m'
_symmetry_Int_Tables_number 221
_symmetry_space_group_name_Hall '-P 4 2 3'
_cell_length_a 4.402
_cell_length_b 4.402
_cell_length_c 4.402
_cell_angle_alpha 90.00
_cell_angle_beta 90.00
_cell_angle_gamma 90.00
loop_
_atom_site_label
_atom_site_fract_x
_atom_site_fract_y
_atom_site_fract_z
Sc1 0.000 0.000 0.000
Mo1 0.000 0.500 0.500
F1 0.500 0.500 0.500
```

---

Quick one: most stable of them? <b>

---

<a>
First-principles (PBE with a Hubbard U) data for a relaxed Mo2SeF crystal, as listed in the Alexandria database.

```
data_Mo2SeF
_chemical_formula_sum 'Mo8 Se4 F4'
_symmetry_space_group_name_H-M 'I -4 2 d'
_symmetry_Int_Tables_number 122
_symmetry_space_group_name_Hall 'I -4 2bw'
_cell_length_a 6.914
_cell_length_b 6.914
_cell_length_c 7.222
_cell_angle_alpha 90.00
_cell_angle_beta 90.00
_cell_angle_gamma 90.00
loop_
_atom_site_label
_atom_site_fract_x
_atom_site_fract_y
_atom_site_fract_z
Mo1 0.218 0.750 0.125
Se1 0.000 0.000 0.500
F1 0.000 0.000 0.000
```

---

<b>
First-principles (PBE with a Hubbard U) data for a relaxed Mo2SeF crystal, as listed in the Alexandria database.

```
data_Mo2SeF
_chemical_formula_sum 'Mo8 Se4 F4'
_symmetry_space_group_name_H-M 'F m -3 m'
_symmetry_Int_Tables_number 225
_symmetry_space_group_name_Hall '-F 4 2 3'
_cell_length_a 6.771
_cell_length_b 6.771
_cell_length_c 6.771
_cell_angle_alpha 90.00
_cell_angle_beta 90.00
_cell_angle_gamma 90.00
loop_
_atom_site_label
_atom_site_fract_x
_atom_site_fract_y
_atom_site_fract_z
Mo1 0.250 0.250 0.250
Se1 0.000 0.000 0.000
F1 0.000 0.000 0.500
```

---

Quick one: most stable of them? <a>

---

<a>
First-principles (PBE with a Hubbard U) data for a relaxed MoSeF3 crystal, as listed in the Alexandria database.

```
data_MoSeF3
_chemical_formula_sum 'Mo1 Se1 F3'
_symmetry_space_group_name_H-M 'P m -3 m'
_symmetry_Int_Tables_number 221
_symmetry_space_group_name_Hall '-P 4 2 3'
_cell_length_a 4.309
_cell_length_b 4.309
_cell_length_c 4.309
_cell_angle_alpha 90.00
_cell_angle_beta 90.00
_cell_angle_gamma 90.00
loop_
_atom_site_label
_atom_site_fract_x
_atom_site_fract_y
_atom_site_fract_z
Mo1 0.000 0.000 0.000
Se1 0.500 0.500 0.500
F1 0.000 0.000 0.500
```

---

<b>
First-principles (PBE with a Hubbard U) data for a relaxed MoSeF3 crystal, as listed in the Alexandria database.

```
data_MoSeF3
_chemical_formula_sum 'Mo1 Se1 F3'
_symmetry_space_group_name_H-M 'P m -3 m'
_symmetry_Int_Tables_number 221
_symmetry_space_group_name_Hall '-P 4 2 3'
_cell_length_a 4.470
_cell_length_b 4.470
_cell_length_c 4.470
_cell_angle_alpha 90.00
_cell_angle_beta 90.00
_cell_angle_gamma 90.00
loop_
_atom_site_label
_atom_site_fract_x
_atom_site_fract_y
_atom_site_fract_z
Mo1 0.000 0.000 0.000
Se1 0.500 0.500 0.500
F1 0.000 0.500 0.500
```

---

Quick one: most stable of them? <a>

---

<a>
First-principles (PBE with a Hubbard U) data for a relaxed SiMo2F crystal, as listed in the Alexandria database.

```
data_SiMo2F
_chemical_formula_sum 'Si4 Mo8 F4'
_symmetry_space_group_name_H-M 'I -4 2 d'
_symmetry_Int_Tables_number 122
_symmetry_space_group_name_Hall 'I -4 2bw'
_cell_length_a 6.653
_cell_length_b 6.653
_cell_length_c 6.504
_cell_angle_alpha 90.00
_cell_angle_beta 90.00
_cell_angle_gamma 90.00
loop_
_atom_site_label
_atom_site_fract_x
_atom_site_fract_y
_atom_site_fract_z
Si1 0.000 0.000 0.000
Mo1 0.225 0.250 0.625
F1 0.000 0.000 0.500
```

---

<b>
First-principles (PBE with a Hubbard U) data for a relaxed SiMo2F crystal, as listed in the Alexandria database.

```
data_SiMo2F
_chemical_formula_sum 'Si4 Mo8 F4'
_symmetry_space_group_name_H-M 'F m -3 m'
_symmetry_Int_Tables_number 225
_symmetry_space_group_name_Hall '-F 4 2 3'
_cell_length_a 6.422
_cell_length_b 6.422
_cell_length_c 6.422
_cell_angle_alpha 90.00
_cell_angle_beta 90.00
_cell_angle_gamma 90.00
loop_
_atom_site_label
_atom_site_fract_x
_atom_site_fract_y
_atom_site_fract_z
Si1 0.000 0.000 0.000
Mo1 0.250 0.250 0.250
F1 0.000 0.000 0.500
```

---

Quick one: most stable of them? <b>

---

<a>
First-principles (PBE with a Hubbard U) data for a relaxed SiMoF3 crystal, as listed in the Alexandria database.

```
data_SiMoF3
_chemical_formula_sum 'Si1 Mo1 F3'
_symmetry_space_group_name_H-M 'P m -3 m'
_symmetry_Int_Tables_number 221
_symmetry_space_group_name_Hall '-P 4 2 3'
_cell_length_a 4.310
_cell_length_b 4.310
_cell_length_c 4.310
_cell_angle_alpha 90.00
_cell_angle_beta 90.00
_cell_angle_gamma 90.00
loop_
_atom_site_label
_atom_site_fract_x
_atom_site_fract_y
_atom_site_fract_z
Si1 0.000 0.000 0.000
Mo1 0.500 0.500 0.500
F1 0.000 0.500 0.500
```

---

<b>
First-principles (PBE with a Hubbard U) data for a relaxed SiMoF3 crystal, as listed in the Alexandria database.

```
data_SiMoF3
_chemical_formula_sum 'Si1 Mo1 F3'
_symmetry_space_group_name_H-M 'P m -3 m'
_symmetry_Int_Tables_number 221
_symmetry_space_group_name_Hall '-P 4 2 3'
_cell_length_a 4.292
_cell_length_b 4.292
_cell_length_c 4.292
_cell_angle_alpha 90.00
_cell_angle_beta 90.00
_cell_angle_gamma 90.00
loop_
_atom_site_label
_atom_site_fract_x
_atom_site_fract_y
_atom_site_fract_z
Si1 0.000 0.000 0.000
Mo1 0.500 0.500 0.500
F1 0.000 0.000 0.500
```

---

Quick one: most stable of them? <b>

---

<a>
First-principles (PBE with a Hubbard U) data for a relaxed Si2MoF crystal, as listed in the Alexandria database.

```
data_Si2MoF
_chemical_formula_sum 'Si8 Mo4 F4'
_symmetry_space_group_name_H-M 'F m -3 m'
_symmetry_Int_Tables_number 225
_symmetry_space_group_name_Hall '-F 4 2 3'
_cell_length_a 6.254
_cell_length_b 6.254
_cell_length_c 6.254
_cell_angle_alpha 90.00
_cell_angle_beta 90.00
_cell_angle_gamma 90.00
loop_
_atom_site_label
_atom_site_fract_x
_atom_site_fract_y
_atom_site_fract_z
Si1 0.250 0.250 0.250
Mo1 0.000 0.000 0.000
F1 0.000 0.000 0.500
```

---

<b>
First-principles (PBE with a Hubbard U) data for a relaxed Si2MoF crystal, as listed in the Alexandria database.

```
data_Si2MoF
_chemical_formula_sum 'Si8 Mo4 F4'
_symmetry_space_group_name_H-M 'I -4 2 d'
_symmetry_Int_Tables_number 122
_symmetry_space_group_name_Hall 'I -4 2bw'
_cell_length_a 6.296
_cell_length_b 6.296
_cell_length_c 5.744
_cell_angle_alpha 90.00
_cell_angle_beta 90.00
_cell_angle_gamma 90.00
loop_
_atom_site_label
_atom_site_fract_x
_atom_site_fract_y
_atom_site_fract_z
Si1 0.197 0.750 0.125
Mo1 0.000 0.000 0.500
F1 0.000 0.000 0.000
```

---

Quick one: most stable of them? <a>

---

<a>
First-principles (PBE with a Hubbard U) data for a relaxed SnMoF2 crystal, as listed in the Alexandria database.

```
data_SnMoF2
_chemical_formula_sum 'Sn3 Mo3 F6'
_symmetry_space_group_name_H-M 'R -3 m'
_symmetry_Int_Tables_number 166
_symmetry_space_group_name_Hall '-R 3 2"'
_cell_length_a 3.2545
_cell_length_b 3.2545
_cell_length_c 24.8414
_cell_angle_alpha 90.00
_cell_angle_beta 90.00
_cell_angle_gamma 120.00
loop_
_atom_site_label
_atom_site_fract_x
_atom_site_fract_y
_atom_site_fract_z
Sn1 0.0000 0.0000 0.0000
Mo1 0.0000 0.0000 0.5000
F1 0.0000 0.0000 0.4151
```

---

<b>
First-principles (PBE with a Hubbard U) data for a relaxed SnMoF2 crystal, as listed in the Alexandria database.

```
data_SnMoF2
_chemical_formula_sum 'Sn3 Mo3 F6'
_symmetry_space_group_name_H-M 'R -3 m'
_symmetry_Int_Tables_number 166
_symmetry_space_group_name_Hall '-R 3 2"'
_cell_length_a 3.2074
_cell_length_b 3.2074
_cell_length_c 28.7980
_cell_angle_alpha 90.00
_cell_angle_beta 90.00
_cell_angle_gamma 120.00
loop_
_atom_site_label
_atom_site_fract_x
_atom_site_fract_y
_atom_site_fract_z
Sn1 0.0000 0.0000 0.0000
Mo1 0.0000 0.0000 0.5000
F1 0.0000 0.0000 0.1233
```

---

Quick one: most stable of them? <a>

---

<a>
First-principles (PBE with a Hubbard U) data for a relaxed Sn3MoF crystal, as listed in the Alexandria database.

```
data_Sn3MoF
_chemical_formula_sum 'Sn3 Mo1 F1'
_symmetry_space_group_name_H-M 'P m -3 m'
_symmetry_Int_Tables_number 221
_symmetry_space_group_name_Hall '-P 4 2 3'
_cell_length_a 4.931
_cell_length_b 4.931
_cell_length_c 4.931
_cell_angle_alpha 90.00
_cell_angle_beta 90.00
_cell_angle_gamma 90.00
loop_
_atom_site_label
_atom_site_fract_x
_atom_site_fract_y
_atom_site_fract_z
Sn1 0.000 0.000 0.500
Mo1 0.500 0.500 0.500
F1 0.000 0.000 0.000
```

---

<b>
First-principles (PBE with a Hubbard U) data for a relaxed Sn3MoF crystal, as listed in the Alexandria database.

```
data_Sn3MoF
_chemical_formula_sum 'Sn3 Mo1 F1'
_symmetry_space_group_name_H-M 'P m -3 m'
_symmetry_Int_Tables_number 221
_symmetry_space_group_name_Hall '-P 4 2 3'
_cell_length_a 5.252
_cell_length_b 5.252
_cell_length_c 5.252
_cell_angle_alpha 90.00
_cell_angle_beta 90.00
_cell_angle_gamma 90.00
loop_
_atom_site_label
_atom_site_fract_x
_atom_site_fract_y
_atom_site_fract_z
Sn1 0.000 0.000 0.500
Mo1 0.000 0.000 0.000
F1 0.500 0.500 0.500
```

---

Quick one: most stable of them? <a>

---

<a>
First-principles (PBE with a Hubbard U) data for a relaxed SnMoF3 crystal, as listed in the Alexandria database.

```
data_SnMoF3
_chemical_formula_sum 'Sn1 Mo1 F3'
_symmetry_space_group_name_H-M 'P m -3 m'
_symmetry_Int_Tables_number 221
_symmetry_space_group_name_Hall '-P 4 2 3'
_cell_length_a 4.651
_cell_length_b 4.651
_cell_length_c 4.651
_cell_angle_alpha 90.00
_cell_angle_beta 90.00
_cell_angle_gamma 90.00
loop_
_atom_site_label
_atom_site_fract_x
_atom_site_fract_y
_atom_site_fract_z
Sn1 0.000 0.000 0.000
Mo1 0.500 0.500 0.500
F1 0.000 0.000 0.500
```

---

<b>
First-principles (PBE with a Hubbard U) data for a relaxed SnMoF3 crystal, as listed in the Alexandria database.

```
data_SnMoF3
_chemical_formula_sum 'Sn1 Mo1 F3'
_symmetry_space_group_name_H-M 'P m -3 m'
_symmetry_Int_Tables_number 221
_symmetry_space_group_name_Hall '-P 4 2 3'
_cell_length_a 4.430
_cell_length_b 4.430
_cell_length_c 4.430
_cell_angle_alpha 90.00
_cell_angle_beta 90.00
_cell_angle_gamma 90.00
loop_
_atom_site_label
_atom_site_fract_x
_atom_site_fract_y
_atom_site_fract_z
Sn1 0.000 0.000 0.000
Mo1 0.500 0.500 0.500
F1 0.000 0.500 0.500
```

---

Quick one: most stable of them? <b>

---

<a>
First-principles (PBE with a Hubbard U) data for a relaxed Sn2MoF crystal, as listed in the Alexandria database.

```
data_Sn2MoF
_chemical_formula_sum 'Sn8 Mo4 F4'
_symmetry_space_group_name_H-M 'F m -3 m'
_symmetry_Int_Tables_number 225
_symmetry_space_group_name_Hall '-F 4 2 3'
_cell_length_a 6.927
_cell_length_b 6.927
_cell_length_c 6.927
_cell_angle_alpha 90.00
_cell_angle_beta 90.00
_cell_angle_gamma 90.00
loop_
_atom_site_label
_atom_site_fract_x
_atom_site_fract_y
_atom_site_fract_z
Sn1 0.250 0.250 0.250
Mo1 0.000 0.000 0.000
F1 0.000 0.000 0.500
```

---

<b>
First-principles (PBE with a Hubbard U) data for a relaxed Sn2MoF crystal, as listed in the Alexandria database.

```
data_Sn2MoF
_chemical_formula_sum 'Sn8 Mo4 F4'
_symmetry_space_group_name_H-M 'I -4 2 d'
_symmetry_Int_Tables_number 122
_symmetry_space_group_name_Hall 'I -4 2bw'
_cell_length_a 7.771
_cell_length_b 7.771
_cell_length_c 6.036
_cell_angle_alpha 90.00
_cell_angle_beta 90.00
_cell_angle_gamma 90.00
loop_
_atom_site_label
_atom_site_fract_x
_atom_site_fract_y
_atom_site_fract_z
Sn1 0.182 0.250 0.125
Mo1 0.000 0.000 0.500
F1 0.000 0.000 0.000
```

---

Quick one: most stable of them? <a>

---

<a>
First-principles (PBE with a Hubbard U) data for a relaxed SrMoF3 crystal, as listed in the Alexandria database.

```
data_SrMoF3
_chemical_formula_sum 'Sr1 Mo1 F3'
_symmetry_space_group_name_H-M 'P m -3 m'
_symmetry_Int_Tables_number 221
_symmetry_space_group_name_Hall '-P 4 2 3'
_cell_length_a 4.730
_cell_length_b 4.730
_cell_length_c 4.730
_cell_angle_alpha 90.00
_cell_angle_beta 90.00
_cell_angle_gamma 90.00
loop_
_atom_site_label
_atom_site_fract_x
_atom_site_fract_y
_atom_site_fract_z
Sr1 0.000 0.000 0.000
Mo1 0.500 0.500 0.500
F1 0.000 0.000 0.500
```

---

<b>
First-principles (PBE with a Hubbard U) data for a relaxed SrMoF3 crystal, as listed in the Alexandria database.

```
data_SrMoF3
_chemical_formula_sum 'Sr1 Mo1 F3'
_symmetry_space_group_name_H-M 'P m -3 m'
_symmetry_Int_Tables_number 221
_symmetry_space_group_name_Hall '-P 4 2 3'
_cell_length_a 4.603
_cell_length_b 4.603
_cell_length_c 4.603
_cell_angle_alpha 90.00
_cell_angle_beta 90.00
_cell_angle_gamma 90.00
loop_
_atom_site_label
_atom_site_fract_x
_atom_site_fract_y
_atom_site_fract_z
Sr1 0.000 0.000 0.000
Mo1 0.500 0.500 0.500
F1 0.000 0.500 0.500
```

---

Quick one: most stable of them? <a>